! PBE Ho4MgPt, optimized geometry; values from VASP
! distance to the lowest polymorph of the same formula	0.472	eV per atom
! DFT formation energy	-54	meV per atom
&SYSTEM
  ibrav = 0, nat = 12, ntyp = 3
/
ATOMIC_SPECIES
Ho 164.93 Ho.upf
Mg 24.30 Mg.upf
Pt 195.08 Pt.upf
CELL_PARAMETERS angstrom
-4.5951 4.5951 4.7510
4.5951 -4.5951 4.7510
4.5951 4.5951 -4.7510
ATOMIC_POSITIONS crystal
Ho 0.1308 0.4478 0.6831
Ho 0.1978 0.0147 0.8169
Ho 0.1978 0.3808 0.1831
Ho 0.3004 0.0000 0.3004
Ho 0.6996 0.0000 0.6996
Ho 0.7500 0.5504 0.8004
Ho 0.7500 0.9496 0.1996
Ho 0.7647 0.4478 0.3169
Mg 0.2296 0.7296 0.5000
Mg 0.4796 0.4796 0.0000
Pt 0.7213 0.2213 0.5000
Pt 0.9713 0.9713 0.0000

! PBE In4NiPd, optimized geometry; values from VASP
! DFT formation energy	-227	meV per atom
&SYSTEM
  ibrav = 0, nat = 12, ntyp = 3
/
ATOMIC_SPECIES
In 114.82 In.upf
Ni 58.69 Ni.upf
Pd 106.42 Pd.upf
CELL_PARAMETERS angstrom
-3.2039 3.2039 5.9822
3.2039 -3.2039 5.9822
3.2039 3.2039 -5.9822
ATOMIC_POSITIONS crystal
In 0.0472 0.5472 0.8578
In 0.1894 0.0472 0.5000
In 0.3106 0.8106 0.8578
In 0.4528 0.3106 0.5000
In 0.5472 0.6894 0.5000
In 0.6894 0.1894 0.1422
In 0.8106 0.9528 0.5000
In 0.9528 0.4528 0.1422
Ni 0.2500 0.2500 0.0000
Ni 0.7500 0.7500 0.0000
Pd 0.0000 0.0000 0.0000
Pd 0.5000 0.5000 0.0000

Number 1 is which compound?
Ho4MgPt

Which value of DFT formation energy does entry 2 give?
-227 meV per atom